1.
SiPb2Br (GGA-PBE, optimized geometry); total magnetization = 0.0 μB per cell; density of states at the Fermi level = 0.49 states/eV/atom; energy relative to the elements, uncorrected = 0.045 eV per atom; E above lowest polymorph = 42.2 kJ/mol of formula units; DFT total energy = -3.583 eV per atom
1.0
8.5535 0.0489 0.0140
7.7309 3.6603 0.0140
0.9653 0.2199 3.9664
Br Pb Si
1 2 1
direct
0.7930 0.7930 0.7095
0.9759 0.9759 0.0217
0.1866 0.1866 0.3153
0.5445 0.5445 0.4534



2.
Ba3Li2Mg2Bi4 (GGA-PBE, optimized geometry); total magnetization = 0.0 μB per cell; density of states at the Fermi level = 0.00 states/eV/atom; formation enthalpy at 0 K = -0.73 eV per atom; DFT total energy = -3.304 eV per atom
1.0
-2.6883 -0.8564 -4.1142
4.8474 -1.1747 0.1017
-4.0320 -16.1186 5.9898
Ba Li Mg Bi
3 2 2 4
direct
0.0000 0.0000 0.7337
0.0000 0.0000 0.0000
0.0000 0.0000 0.2663
0.6667 0.3333 0.8672
0.3333 0.6667 0.1328
0.6667 0.3333 0.4416
0.3333 0.6667 0.5584
0.6667 0.3333 0.1326
0.3333 0.6667 0.8674
0.6667 0.3333 0.6110
0.3333 0.6667 0.3890